[1]
A relaxed AcP2Au8 crystal, computed with PBE-GGA.

Cell and atoms, written as CIF:
```
data_AcP2Au8
_chemical_formula_sum 'Ac1 P2 Au8'
_cell_length_a 5.324
_cell_length_b 5.570
_cell_length_c 8.982
_cell_angle_alpha 87.74
_cell_angle_beta 81.62
_cell_angle_gamma 68.97
_space_group_name_H-M_alt 'P -1'
_space_group_IT_number 2
_space_group_name_Hall '-P 1'
loop_
_atom_site_label
_atom_site_fract_x
_atom_site_fract_y
_atom_site_fract_z
Ac1 0.000 0.000 0.000
P1 0.153 0.743 0.640
Au1 0.135 0.422 0.183
Au2 0.188 0.809 0.373
Au3 0.415 0.977 0.705
Au4 0.429 0.375 0.887
```

Computed properties:
Energy of formation from the pure elements (meV/atom): -168

[2]
A relaxed SrMgTlH crystal, computed with PBE-GGA.

Cell and atoms, written as CIF:
```
data_SrMgTlH
_chemical_formula_sum 'Sr2 Mg2 Tl2 H2'
_cell_length_a 4.443
_cell_length_b 4.443
_cell_length_c 9.617
_cell_angle_alpha 90.00
_cell_angle_beta 90.00
_cell_angle_gamma 90.00
_space_group_name_H-M_alt 'P 4/n m m'
_space_group_IT_number 129
loop_
_space_group_symop_operation_xyz
'x,y,z'
'-x,-y,-z'
'-y+1/2,x,z'
'y+1/2,-x,-z'
'-x+1/2,-y+1/2,z'
'x+1/2,y+1/2,-z'
'y,-x+1/2,z'
'-y,x+1/2,-z'
'x+1/2,-y,-z'
'-x+1/2,y,z'
'-y,-x,-z'
'y,x,z'
'-x,y+1/2,-z'
'x,-y+1/2,z'
'y+1/2,x+1/2,-z'
'-y+1/2,-x+1/2,z'
loop_
_atom_site_label
_atom_site_fract_x
_atom_site_fract_y
_atom_site_fract_z
Sr1 0.250 0.250 0.124
Mg1 0.250 0.750 0.500
Tl1 0.250 0.250 0.714
H1 0.250 0.750 0.000
```

Computed properties:
E_tot (eV per atom): -2.557

[3]
A relaxed Y4Ag3Sn crystal, computed with PBE-GGA.

Cell and atoms, written as CIF:
```
data_Y4Ag3Sn
_chemical_formula_sum 'Y8 Ag6 Sn2'
_cell_length_a 5.191
_cell_length_b 5.191
_cell_length_c 14.806
_cell_angle_alpha 90.00
_cell_angle_beta 90.00
_cell_angle_gamma 90.00
_space_group_name_H-M_alt 'I 4/m m m'
_space_group_IT_number 139
_space_group_name_Hall '-I 4 2'
loop_
_atom_site_label
_atom_site_fract_x
_atom_site_fract_y
_atom_site_fract_z
Y1 0.000 0.500 0.129
Ag1 0.000 0.000 0.000
Ag2 0.000 0.000 0.246
Sn1 0.000 0.000 0.500
```

Computed properties:
Energy of formation from the pure elements (meV/atom): -438

[4]
A relaxed CsCu2AsBr8 crystal, computed with PBE-GGA.

Cell and atoms, written as CIF:
```
data_CsCu2AsBr8
_chemical_formula_sum 'Cs2 Cu4 As2 Br16'
_cell_length_a 10.659
_cell_length_b 7.650
_cell_length_c 10.657
_cell_angle_alpha 90.00
_cell_angle_beta 91.33
_cell_angle_gamma 90.00
_space_group_name_H-M_alt 'C 1 2/m 1'
_space_group_IT_number 12
_space_group_name_Hall '-C 2y'
loop_
_atom_site_label
_atom_site_fract_x
_atom_site_fract_y
_atom_site_fract_z
Cs1 0.000 0.000 0.000
Cu1 0.144 0.500 0.304
As1 0.000 0.000 0.500
Br1 0.005 0.238 0.319
Br2 0.166 0.500 0.088
Br3 0.248 0.000 0.500
```

Computed properties:
E_tot (eV per atom): -2.784

[5]
A relaxed UIrPt2Rh2 crystal, computed with PBE-GGA.

Cell and atoms, written as CIF:
```
data_UIrPt2Rh2
_chemical_formula_sum 'U2 Ir2 Pt4 Rh4'
_cell_length_a 5.642
_cell_length_b 5.539
_cell_length_c 6.634
_cell_angle_alpha 90.00
_cell_angle_beta 103.25
_cell_angle_gamma 90.00
_space_group_name_H-M_alt 'P 1 21/m 1'
_space_group_IT_number 11
_space_group_name_Hall '-P 2yb'
loop_
_atom_site_label
_atom_site_fract_x
_atom_site_fract_y
_atom_site_fract_z
U1 0.159 0.250 0.162
Ir1 0.222 0.750 0.134
Pt1 0.324 0.002 0.805
Rh1 0.028 0.750 0.473
Rh2 0.457 0.250 0.482
```

Computed properties:
Energy of formation from the pure elements (meV/atom): -355

[6]
A relaxed BF crystal, computed with PBE-GGA.

Cell and atoms, written as CIF:
```
data_BF
_chemical_formula_sum 'B8 F8'
_cell_length_a 7.732
_cell_length_b 7.732
_cell_length_c 4.121
_cell_angle_alpha 90.00
_cell_angle_beta 90.00
_cell_angle_gamma 90.00
_space_group_name_H-M_alt 'P 4/m'
_space_group_IT_number 83
_space_group_name_Hall '-P 4'
loop_
_atom_site_label
_atom_site_fract_x
_atom_site_fract_y
_atom_site_fract_z
B1 0.023 0.853 0.000
B2 0.081 0.567 0.500
F1 0.053 0.665 0.000
F2 0.248 0.579 0.500
```

Computed properties:
ΔE to the lowest computed polymorph (meV per atom): 373

[7]
A relaxed ScInMoS2 crystal, computed with PBE-GGA.

Cell and atoms, written as CIF:
```
data_ScInMoS2
_chemical_formula_sum 'Sc1 In1 Mo1 S2'
_cell_length_a 4.594
_cell_length_b 4.594
_cell_length_c 5.476
_cell_angle_alpha 90.00
_cell_angle_beta 90.00
_cell_angle_gamma 90.00
_space_group_name_H-M_alt 'P 4/m m m'
_space_group_IT_number 123
_space_group_name_Hall '-P 4 2'
loop_
_atom_site_label
_atom_site_fract_x
_atom_site_fract_y
_atom_site_fract_z
Sc1 0.000 0.000 0.000
In1 0.500 0.500 0.000
Mo1 0.500 0.500 0.500
S1 0.000 0.500 0.500
```

Computed properties:
E_tot (eV per atom): -5.601

[8]
A relaxed CaCuO2 crystal, computed with PBE-GGA.

Cell and atoms, written as CIF:
```
data_CaCuO2
_chemical_formula_sum 'Ca1 Cu1 O2'
_cell_length_a 3.873
_cell_length_b 3.873
_cell_length_c 3.205
_cell_angle_alpha 90.00
_cell_angle_beta 90.00
_cell_angle_gamma 90.00
_space_group_name_H-M_alt 'P 4/m m m'
_space_group_IT_number 123
_space_group_name_Hall '-P 4 2'
loop_
_atom_site_label
_atom_site_fract_x
_atom_site_fract_y
_atom_site_fract_z
Ca1 0.000 0.000 0.000
Cu1 0.500 0.500 0.500
O1 0.000 0.500 0.500
```

Computed properties:
E_tot (eV per atom): -5.783